VASP calculation (PBE-GGA) on a geometry-optimized MnAsAuS2 structure.

Values from the calculation:
Density, g cm⁻³: 6.73
SG: P4/mmm (123)
Total magnetization, μB/atom: 0.189
Total DFT energy (no corrections), eV per atom: -4.705

a = 4.193 Å, b = 5.490 Å, c = 4.193 Å
α = 90.00°, β = 90.00°, γ = 90.00°
Site moments in Bohr magnetons follow the coordinates.
Element x y z (fractional)
S1 0.000 0.000 0.500  -0.04
S2 0.500 0.000 0.000  -0.07
As1 0.000 0.500 0.000  -0.08
Au1 0.500 0.500 0.500  -0.02
Mn1 0.000 0.000 0.000  1.19